VASP calculation (PBE-GGA) on crystalline BeNiPS2 at its relaxed geometry. Values from VASP.

Summary:
DOS at the Fermi energy in states/eV/f.u.: 4.3
Formation energy without anion corrections in eV/atom: 0.82
E_tot in eV per atom: -3.819

```
&SYSTEM
  ibrav = 0, nat = 5, ntyp = 4
/
ATOMIC_SPECIES
Be 9.01 Be.upf
Ni 58.69 Ni.upf
P 30.97 P.upf
S 32.06 S.upf
CELL_PARAMETERS angstrom
4.647 0.000 0.000
0.000 4.647 0.000
0.000 0.000 4.079
ATOMIC_POSITIONS crystal
Be 0.000 0.000 0.000
Ni 0.500 0.500 0.500
P 0.500 0.500 0.000
S 0.000 0.500 0.500
S 0.500 0.000 0.500
```

***

VASP calculation (PBE-GGA) on crystalline SmBeNiP2 at its relaxed geometry. Values from VASP.

Summary:
DOS at the Fermi energy in states/eV/f.u.: 0.9
E_tot in eV per atom: -5.847

```
&SYSTEM
  ibrav = 0, nat = 5, ntyp = 4
/
ATOMIC_SPECIES
Sm 150.36 Sm.upf
Be 9.01 Be.upf
Ni 58.69 Ni.upf
P 30.97 P.upf
CELL_PARAMETERS angstrom
-1.852 1.852 5.502
1.852 -1.852 5.502
1.852 1.852 -5.502
ATOMIC_POSITIONS crystal
Sm 0.000 0.000 0.000
Be 0.750 0.250 0.500
Ni 0.250 0.750 0.500
P 0.367 0.367 0.000
P 0.633 0.633 0.000
```

***

VASP calculation (PBE-GGA) on crystalline SrBeNiP2 at its relaxed geometry. Values from VASP.

Summary:
DOS at the Fermi energy in states/eV/f.u.: 2.5
E_tot in eV per atom: -4.506

```
&SYSTEM
  ibrav = 0, nat = 5, ntyp = 4
/
ATOMIC_SPECIES
Sr 87.62 Sr.upf
Be 9.01 Be.upf
Ni 58.69 Ni.upf
P 30.97 P.upf
CELL_PARAMETERS angstrom
4.603 0.000 0.000
0.000 4.603 0.000
0.000 0.000 4.196
ATOMIC_POSITIONS crystal
Sr 0.000 0.000 0.000
Be 0.500 0.500 0.000
Ni 0.500 0.500 0.500
P 0.000 0.500 0.500
P 0.500 0.000 0.500
```

***

VASP calculation (PBE-GGA) on crystalline SrBeNiP2 at its relaxed geometry. Values from VASP.

Summary:
DOS at the Fermi energy in states/eV/f.u.: 2.6
E_tot in eV per atom: -5.097

```
&SYSTEM
  ibrav = 0, nat = 5, ntyp = 4
/
ATOMIC_SPECIES
Sr 87.62 Sr.upf
Be 9.01 Be.upf
Ni 58.69 Ni.upf
P 30.97 P.upf
CELL_PARAMETERS angstrom
-1.890 1.890 5.835
1.890 -1.890 5.835
1.890 1.890 -5.835
ATOMIC_POSITIONS crystal
Sr 0.000 0.000 0.000
Be 0.250 0.750 0.500
Ni 0.750 0.250 0.500
P 0.354 0.354 0.000
P 0.646 0.646 0.000
```

***

VASP calculation (PBE-GGA) on crystalline TaBe2NiP at its relaxed geometry. Values from VASP.

Summary:
DOS at the Fermi energy in states/eV/f.u.: 3.4
E_tot in eV per atom: -4.736

```
&SYSTEM
  ibrav = 0, nat = 5, ntyp = 4
/
ATOMIC_SPECIES
Ta 180.95 Ta.upf
Be 9.01 Be.upf
Ni 58.69 Ni.upf
P 30.97 P.upf
CELL_PARAMETERS angstrom
4.466 0.000 0.000
0.000 4.466 0.000
0.000 0.000 4.654
ATOMIC_POSITIONS crystal
Ta 0.000 0.000 0.000
Be 0.000 0.500 0.000
Be 0.500 0.000 0.000
Ni 0.500 0.500 0.500
P 0.000 0.000 0.500
```

***

VASP calculation (PBE-GGA) on crystalline Tb2BeNi3P4 at its relaxed geometry. Values from VASP.

Summary:
DOS at the Fermi energy in states/eV/f.u.: 3.4
E_tot in eV per atom: -6.093

```
&SYSTEM
  ibrav = 0, nat = 10, ntyp = 4
/
ATOMIC_SPECIES
Tb 158.93 Tb.upf
Be 9.01 Be.upf
Ni 58.69 Ni.upf
P 30.97 P.upf
CELL_PARAMETERS angstrom
3.947 0.000 0.000
0.000 3.947 0.000
0.000 0.000 9.220
ATOMIC_POSITIONS crystal
Tb 0.000 0.500 0.247
Tb 0.500 0.000 0.753
Be 0.000 0.000 0.500
Ni 0.000 0.500 0.880
Ni 0.500 0.000 0.120
Ni 0.500 0.500 0.500
P 0.000 0.000 0.000
P 0.000 0.500 0.633
P 0.500 0.000 0.367
P 0.500 0.500 0.000
```

***

VASP calculation (PBE-GGA) on crystalline Tb2BeNi4P3 at its relaxed geometry. Values from VASP.

Summary:
DOS at the Fermi energy in states/eV/f.u.: 4.7
E_tot in eV per atom: -6.191

```
&SYSTEM
  ibrav = 0, nat = 10, ntyp = 4
/
ATOMIC_SPECIES
Tb 158.93 Tb.upf
Be 9.01 Be.upf
Ni 58.69 Ni.upf
P 30.97 P.upf
CELL_PARAMETERS angstrom
3.871 0.000 0.000
0.000 3.871 0.000
0.000 0.000 9.277
ATOMIC_POSITIONS crystal
Tb 0.000 0.500 0.247
Tb 0.500 0.000 0.753
Be 0.500 0.500 0.000
Ni 0.000 0.000 0.500
Ni 0.000 0.500 0.880
Ni 0.500 0.000 0.120
Ni 0.500 0.500 0.500
P 0.000 0.000 0.000
P 0.000 0.500 0.637
P 0.500 0.000 0.363
```

***

VASP calculation (PBE-GGA) on crystalline Th2BeNi12P3 at its relaxed geometry. Values from VASP.

Summary:
DOS at the Fermi energy in states/eV/f.u.: 11.3
E_tot in eV per atom: -6.010

```
&SYSTEM
  ibrav = 0, nat = 18, ntyp = 4
/
ATOMIC_SPECIES
Th 232.04 Th.upf
Be 9.01 Be.upf
Ni 58.69 Ni.upf
P 30.97 P.upf
CELL_PARAMETERS angstrom
3.192 1.843 7.150
-3.192 1.843 7.150
0.000 -3.685 7.150
ATOMIC_POSITIONS crystal
Th 0.157 0.157 0.157
Th 0.843 0.843 0.843
Be 0.500 0.500 0.500
Ni 0.091 0.091 0.684
Ni 0.091 0.684 0.091
Ni 0.166 0.569 0.569
Ni 0.316 0.909 0.909
Ni 0.431 0.431 0.834
Ni 0.431 0.834 0.431
Ni 0.569 0.166 0.569
Ni 0.569 0.569 0.166
Ni 0.684 0.091 0.091
Ni 0.834 0.431 0.431
Ni 0.909 0.316 0.909
Ni 0.909 0.909 0.316
P 0.000 0.500 0.500
P 0.500 0.000 0.500
P 0.500 0.500 0.000
```